[1]
First-principles (SCAN) data for a PBEsol-optimized structure of Zn2HgWBr, as listed in Alexandria via LeMat-Bulk.

Computed properties:
Raw total energy ... -179.25 eV/cell

CIF file:
```
data_Zn2HgWBr
_symmetry_space_group_name_H-M 'P 4/m m m'
_symmetry_Int_Tables_number 123
_symmetry_space_group_name_Hall '-P 4 2'
_cell_length_a 5.048
_cell_length_b 5.048
_cell_length_c 5.289
_cell_angle_alpha 90.00
_cell_angle_beta 90.00
_cell_angle_gamma 90.00
loop_
_atom_site_label
_atom_site_fract_x
_atom_site_fract_y
_atom_site_fract_z
Zn1 0.000 0.500 0.000
Hg1 0.000 0.000 0.500
W1 0.000 0.000 0.000
Br1 0.500 0.500 0.500
```



[2]
First-principles (SCAN) data for a PBEsol-optimized structure of YHgBr, as listed in Alexandria via LeMat-Bulk.

Computed properties:
Raw total energy ... -467.44 eV/cell

CIF file:
```
data_YHgBr
_symmetry_space_group_name_H-M 'F -4 3 m'
_symmetry_Int_Tables_number 216
_symmetry_space_group_name_Hall 'F -4 2 3'
_cell_length_a 6.850
_cell_length_b 6.850
_cell_length_c 6.850
_cell_angle_alpha 90.00
_cell_angle_beta 90.00
_cell_angle_gamma 90.00
loop_
_atom_site_label
_atom_site_fract_x
_atom_site_fract_y
_atom_site_fract_z
Y1 0.000 0.000 0.000
Hg1 0.000 0.000 0.500
Br1 0.250 0.250 0.250
```



[3]
First-principles (SCAN) data for a PBEsol-optimized structure of YHgBr3, as listed in Alexandria via LeMat-Bulk.

Computed properties:
Raw total energy ... -162.19 eV/cell

CIF file:
```
data_YHgBr3
_symmetry_space_group_name_H-M 'P m -3 m'
_symmetry_Int_Tables_number 221
_symmetry_space_group_name_Hall '-P 4 2 3'
_cell_length_a 5.509
_cell_length_b 5.509
_cell_length_c 5.509
_cell_angle_alpha 90.00
_cell_angle_beta 90.00
_cell_angle_gamma 90.00
loop_
_atom_site_label
_atom_site_fract_x
_atom_site_fract_y
_atom_site_fract_z
Y1 0.000 0.000 0.000
Hg1 0.500 0.500 0.500
Br1 0.000 0.000 0.500
```



> raw total energy of number 1 (Zn2HgWBr)?

-179.25 eV/cell



> What is the raw total energy in the first record?

-179.25 eV/cell



> Which formula does entry 3 have?

YHgBr3